# 1
# Sr2Al9Co (PBE, relaxed)
# calculated density	3.33	g/cm3
# magnetization	0.00	μB/atom
# DFT formation energy	-0.016	eV per atom
data_Sr2Al9Co
_space_group_name_H-M_alt 'C m m m'
_space_group_IT_number 65
_space_group_name_Hall '-C 2 2'
_cell_length_a 5.8505
_cell_length_b 26.5332
_cell_length_c 3.0677
_cell_angle_alpha 90.00
_cell_angle_beta 90.00
_cell_angle_gamma 90.00
loop_
_atom_site_label
_atom_site_fract_x
_atom_site_fract_y
_atom_site_fract_z
Sr1 0.0000 0.1458 0.0000
Al1 0.0000 0.0000 0.0000
Al2 0.0000 0.3376 0.5000
Al3 0.2220 0.4412 0.5000
Al4 0.2500 0.2500 0.0000
Co1 0.0000 0.5000 0.0000



# 2
# SiAuIN2 (PBE, relaxed)
# raw formation energy	0.8535	eV per atom
# polymorph energy (0 for the lowest one)	0	meV per atom
# calculated density	6.43	g/cm3
# magnetization	0.00	μB/atom
data_SiAuIN2
_space_group_name_H-M_alt 'P 4/m m m'
_space_group_IT_number 123
_space_group_name_Hall '-P 4 2'
_cell_length_a 3.6755
_cell_length_b 3.6755
_cell_length_c 7.2596
_cell_angle_alpha 90.00
_cell_angle_beta 90.00
_cell_angle_gamma 90.00
loop_
_atom_site_label
_atom_site_fract_x
_atom_site_fract_y
_atom_site_fract_z
Si1 0.0000 0.0000 0.0000
Au1 0.5000 0.5000 0.5000
I1 0.0000 0.0000 0.5000
N1 0.0000 0.5000 0.0000



# 3
# TbSm5Y2 (PBE, relaxed)
# polymorph energy (0 for the lowest one)	0	meV per atom
# calculated density	6.73	g/cm3
# magnetization	0.00	μB/atom
# DFT formation energy	0.021	eV per atom
data_TbSm5Y2
_space_group_name_H-M_alt 'P -1'
_space_group_IT_number 2
_space_group_name_Hall '-P 1'
_cell_length_a 6.8353
_cell_length_b 9.3305
_cell_length_c 9.3434
_cell_angle_alpha 85.65
_cell_angle_beta 71.76
_cell_angle_gamma 71.78
loop_
_atom_site_label
_atom_site_fract_x
_atom_site_fract_y
_atom_site_fract_z
Tb1 0.1269 0.2288 0.3959
Sm1 0.1235 0.7272 0.8950
Sm2 0.1251 0.8962 0.2310
Sm3 0.3727 0.0211 0.8535
Sm4 0.3753 0.5204 0.3546
Sm5 0.3778 0.3527 0.0196
Y1 0.1242 0.3962 0.7265
Y2 0.3742 0.8543 0.5212